Entry 1:
# Ac3Zn2GePt9, relaxed, DFT PBE
# - Space-group type: P-3m1, No. 164
# - Formation energy from the elements: -0.5747 eV per atom
# - Uncorrected energy: -5.50 eV/atom
data_Ac3Zn2GePt9
_symmetry_space_group_name_H-M 'P 1'
_symmetry_Int_Tables_number 1
_symmetry_space_group_name_Hall 'P 1'
_cell_length_a 7.4998
_cell_length_b 7.4998
_cell_length_c 6.7304
_cell_angle_alpha 90.00
_cell_angle_beta 90.00
_cell_angle_gamma 120.00
loop_
_atom_site_label
_atom_site_type_symbol
_atom_site_fract_x
_atom_site_fract_y
_atom_site_fract_z
Ac1 Ac 0.0000 0.0000 0.0000
Ac2 Ac 0.3333 0.6667 0.6693
Ac3 Ac 0.6667 0.3333 0.3307
Zn1 Zn 0.3333 0.6667 0.1688
Zn2 Zn 0.6667 0.3333 0.8312
Ge1 Ge 0.0000 0.0000 0.5000
Pt1 Pt 0.0000 0.5000 0.0000
Pt2 Pt 0.1647 0.3294 0.3306
Pt3 Pt 0.1647 0.8353 0.3306
Pt4 Pt 0.3294 0.1647 0.6694
Pt5 Pt 0.5000 0.0000 0.0000
Pt6 Pt 0.5000 0.5000 0.0000
Pt7 Pt 0.6706 0.8353 0.3306
Pt8 Pt 0.8353 0.1647 0.6694
Pt9 Pt 0.8353 0.6706 0.6694



Entry 2:
# AcZnGe2Pt2, relaxed, DFT PBE
# - Space-group type: P-3m1, No. 164
# - Formation energy from the elements: -0.7196 eV per atom
# - Uncorrected energy: -5.17 eV/atom
data_AcZnGe2Pt2
_symmetry_space_group_name_H-M 'P 1'
_symmetry_Int_Tables_number 1
_symmetry_space_group_name_Hall 'P 1'
_cell_length_a 4.3645
_cell_length_b 4.3645
_cell_length_c 7.3008
_cell_angle_alpha 90.00
_cell_angle_beta 90.00
_cell_angle_gamma 120.00
loop_
_atom_site_label
_atom_site_type_symbol
_atom_site_fract_x
_atom_site_fract_y
_atom_site_fract_z
Ac1 Ac 0.0000 0.0000 0.0000
Zn1 Zn 0.0000 0.0000 0.5000
Ge1 Ge 0.3333 0.6667 0.7161
Ge2 Ge 0.6667 0.3333 0.2839
Pt1 Pt 0.3333 0.6667 0.3414
Pt2 Pt 0.6667 0.3333 0.6586



Entry 3:
# AcZnGe2Pt5, relaxed, DFT PBE
# - Space-group type: P4/mmm, No. 123
# - Formation energy from the elements: -0.5935 eV per atom
# - Uncorrected energy: -5.57 eV/atom
data_AcZnGe2Pt5
_symmetry_space_group_name_H-M 'P 1'
_symmetry_Int_Tables_number 1
_symmetry_space_group_name_Hall 'P 1'
_cell_length_a 4.1894
_cell_length_b 4.1894
_cell_length_c 10.5812
_cell_angle_alpha 90.00
_cell_angle_beta 90.00
_cell_angle_gamma 90.00
loop_
_atom_site_label
_atom_site_type_symbol
_atom_site_fract_x
_atom_site_fract_y
_atom_site_fract_z
Ac1 Ac 0.0000 0.0000 0.0000
Zn1 Zn 0.0000 0.0000 0.5000
Ge1 Ge 0.5000 0.5000 0.2308
Ge2 Ge 0.5000 0.5000 0.7692
Pt1 Pt 0.0000 0.5000 0.3528
Pt2 Pt 0.0000 0.5000 0.6472
Pt3 Pt 0.5000 0.0000 0.3528
Pt4 Pt 0.5000 0.0000 0.6472
Pt5 Pt 0.5000 0.5000 0.0000



Entry 4:
# Ac3Zn2GePt6, relaxed, DFT PBE
# - Space-group type: P-3m1, No. 164
# - Formation energy from the elements: -0.7766 eV per atom
# - Uncorrected energy: -5.42 eV/atom
data_Ac3Zn2GePt6
_symmetry_space_group_name_H-M 'P 1'
_symmetry_Int_Tables_number 1
_symmetry_space_group_name_Hall 'P 1'
_cell_length_a 5.9116
_cell_length_b 5.9116
_cell_length_c 9.1074
_cell_angle_alpha 90.00
_cell_angle_beta 90.00
_cell_angle_gamma 120.00
loop_
_atom_site_label
_atom_site_type_symbol
_atom_site_fract_x
_atom_site_fract_y
_atom_site_fract_z
Ac1 Ac 0.0000 0.0000 0.0000
Ac2 Ac 0.3333 0.6667 0.6241
Ac3 Ac 0.6667 0.3333 0.3759
Zn1 Zn 0.3333 0.6667 0.0629
Zn2 Zn 0.6667 0.3333 0.9371
Ge1 Ge 0.0000 0.0000 0.5000
Pt1 Pt 0.1720 0.3441 0.2897
Pt2 Pt 0.1720 0.8280 0.2897
Pt3 Pt 0.3441 0.1720 0.7103
Pt4 Pt 0.6559 0.8280 0.2897
Pt5 Pt 0.8280 0.1720 0.7103
Pt6 Pt 0.8280 0.6559 0.7103



Entry 5:
# Ac2Zn4GePt3, relaxed, DFT PBE
# - Space-group type: P-4m2, No. 115
# - Formation energy from the elements: -0.7082 eV per atom
# - Uncorrected energy: -4.31 eV/atom
data_Ac2Zn4GePt3
_symmetry_space_group_name_H-M 'P 1'
_symmetry_Int_Tables_number 1
_symmetry_space_group_name_Hall 'P 1'
_cell_length_a 4.3237
_cell_length_b 4.3237
_cell_length_c 11.0755
_cell_angle_alpha 90.00
_cell_angle_beta 90.00
_cell_angle_gamma 90.00
loop_
_atom_site_label
_atom_site_type_symbol
_atom_site_fract_x
_atom_site_fract_y
_atom_site_fract_z
Ac1 Ac 0.0000 0.5000 0.2491
Ac2 Ac 0.5000 0.0000 0.7509
Zn1 Zn 0.0000 0.0000 0.5000
Zn2 Zn 0.0000 0.5000 0.8689
Zn3 Zn 0.5000 0.0000 0.1311
Zn4 Zn 0.5000 0.5000 0.5000
Ge1 Ge 0.5000 0.5000 0.0000
Pt1 Pt 0.0000 0.0000 0.0000
Pt2 Pt 0.0000 0.5000 0.6356
Pt3 Pt 0.5000 0.0000 0.3644



Entry 6:
# AcZnGePt6, relaxed, DFT PBE
# - Space-group type: Imma, No. 74
# - Formation energy from the elements: -0.3616 eV per atom
# - Uncorrected energy: -5.50 eV/atom
data_AcZnGePt6
_symmetry_space_group_name_H-M 'P 1'
_symmetry_Int_Tables_number 1
_symmetry_space_group_name_Hall 'P 1'
_cell_length_a 8.1217
_cell_length_b 8.1217
_cell_length_c 8.1217
_cell_angle_alpha 124.28
_cell_angle_beta 115.02
_cell_angle_gamma 90.79
loop_
_atom_site_label
_atom_site_type_symbol
_atom_site_fract_x
_atom_site_fract_y
_atom_site_fract_z
Ac1 Ac 0.3926 0.1426 0.2500
Ac2 Ac 0.6074 0.8574 0.7500
Zn1 Zn 0.0000 0.0000 0.5000
Zn2 Zn 0.0000 0.5000 0.0000
Ge1 Ge 0.0000 0.5000 0.5000
Ge2 Ge 0.5000 0.5000 0.0000
Pt1 Pt 0.1115 0.3681 0.2297
Pt2 Pt 0.1115 0.8818 0.7434
Pt3 Pt 0.1378 0.8878 0.2500
Pt4 Pt 0.3480 0.5980 0.7500
Pt5 Pt 0.3616 0.1182 0.7297
Pt6 Pt 0.3616 0.6319 0.2434
Pt7 Pt 0.6384 0.3681 0.7566
Pt8 Pt 0.6384 0.8818 0.2703
Pt9 Pt 0.6520 0.4020 0.2500
Pt10 Pt 0.8622 0.1122 0.7500
Pt11 Pt 0.8885 0.1182 0.2566
Pt12 Pt 0.8885 0.6319 0.7703



Entry 7:
# Ac3ZnGe2Pt6, relaxed, DFT PBE
# - Space-group type: P-3m1, No. 164
# - Formation energy from the elements: -0.8504 eV per atom
# - Uncorrected energy: -5.77 eV/atom
data_Ac3ZnGe2Pt6
_symmetry_space_group_name_H-M 'P 1'
_symmetry_Int_Tables_number 1
_symmetry_space_group_name_Hall 'P 1'
_cell_length_a 5.7974
_cell_length_b 5.7974
_cell_length_c 9.7501
_cell_angle_alpha 90.00
_cell_angle_beta 90.00
_cell_angle_gamma 120.00
loop_
_atom_site_label
_atom_site_type_symbol
_atom_site_fract_x
_atom_site_fract_y
_atom_site_fract_z
Ac1 Ac 0.0000 0.0000 0.0000
Ac2 Ac 0.3333 0.6667 0.6038
Ac3 Ac 0.6667 0.3333 0.3962
Zn1 Zn 0.0000 0.0000 0.5000
Ge1 Ge 0.3333 0.6667 0.0968
Ge2 Ge 0.6667 0.3333 0.9032
Pt1 Pt 0.1640 0.3281 0.2877
Pt2 Pt 0.1640 0.8360 0.2877
Pt3 Pt 0.3281 0.1640 0.7123
Pt4 Pt 0.6719 0.8360 0.2877
Pt5 Pt 0.8360 0.1640 0.7123
Pt6 Pt 0.8360 0.6719 0.7123



Entry 8:
# Ac2ZnGe4Pt3, relaxed, DFT PBE
# - Space-group type: P-4m2, No. 115
# - Formation energy from the elements: -0.8600 eV per atom
# - Uncorrected energy: -5.47 eV/atom
data_Ac2ZnGe4Pt3
_symmetry_space_group_name_H-M 'P 1'
_symmetry_Int_Tables_number 1
_symmetry_space_group_name_Hall 'P 1'
_cell_length_a 4.4866
_cell_length_b 4.4866
_cell_length_c 10.2939
_cell_angle_alpha 90.00
_cell_angle_beta 90.00
_cell_angle_gamma 90.00
loop_
_atom_site_label
_atom_site_type_symbol
_atom_site_fract_x
_atom_site_fract_y
_atom_site_fract_z
Ac1 Ac 0.0000 0.5000 0.2493
Ac2 Ac 0.5000 0.0000 0.7507
Zn1 Zn 0.5000 0.5000 0.0000
Ge1 Ge 0.0000 0.0000 0.5000
Ge2 Ge 0.0000 0.5000 0.8686
Ge3 Ge 0.5000 0.0000 0.1314
Ge4 Ge 0.5000 0.5000 0.5000
Pt1 Pt 0.0000 0.0000 0.0000
Pt2 Pt 0.0000 0.5000 0.6209
Pt3 Pt 0.5000 0.0000 0.3791



Entry 9:
# Ac2ZrGe3Pt4, relaxed, DFT PBE
# - Space-group type: P-4m2, No. 115
# - Formation energy from the elements: -0.9483 eV per atom
# - Uncorrected energy: -6.43 eV/atom
data_Ac2ZrGe3Pt4
_symmetry_space_group_name_H-M 'P 1'
_symmetry_Int_Tables_number 1
_symmetry_space_group_name_Hall 'P 1'
_cell_length_a 4.4824
_cell_length_b 4.4824
_cell_length_c 10.6591
_cell_angle_alpha 90.00
_cell_angle_beta 90.00
_cell_angle_gamma 90.00
loop_
_atom_site_label
_atom_site_type_symbol
_atom_site_fract_x
_atom_site_fract_y
_atom_site_fract_z
Ac1 Ac 0.0000 0.5000 0.2370
Ac2 Ac 0.5000 0.0000 0.7630
Zr1 Zr 0.0000 0.0000 0.5000
Ge1 Ge 0.0000 0.5000 0.8778
Ge2 Ge 0.5000 0.0000 0.1222
Ge3 Ge 0.5000 0.5000 0.5000
Pt1 Pt 0.0000 0.0000 0.0000
Pt2 Pt 0.0000 0.5000 0.6415
Pt3 Pt 0.5000 0.0000 0.3585
Pt4 Pt 0.5000 0.5000 0.0000



Entry 10:
# Ac3Pu2Ge4, relaxed, DFT PBE
# - Space-group type: C2/m, No. 12
# - Formation energy from the elements: -0.4555 eV per atom
# - Uncorrected energy: -7.06 eV/atom
data_Ac3Pu2Ge4
_symmetry_space_group_name_H-M 'P 1'
_symmetry_Int_Tables_number 1
_symmetry_space_group_name_Hall 'P 1'
_cell_length_a 6.4405
_cell_length_b 6.4405
_cell_length_c 9.8457
_cell_angle_alpha 97.44
_cell_angle_beta 97.44
_cell_angle_gamma 41.87
loop_
_atom_site_label
_atom_site_type_symbol
_atom_site_fract_x
_atom_site_fract_y
_atom_site_fract_z
Ac1 Ac 0.0000 0.0000 0.0000
Ac2 Ac 0.3750 0.3750 0.6092
Ac3 Ac 0.6250 0.6250 0.3908
Pu1 Pu 0.3179 0.3179 0.2066
Pu2 Pu 0.6821 0.6821 0.7934
Ge1 Ge 0.0775 0.0775 0.6227
Ge2 Ge 0.3159 0.3159 0.9119
Ge3 Ge 0.6841 0.6841 0.0881
Ge4 Ge 0.9225 0.9225 0.3773